Ho4As3 after structural relaxation, computed with PBE.

Cell: 13.031 13.031 13.031 Å, 17.99 17.99 17.99°
Positions (direct):
Ho  0.125  0.125  0.125
Ho  0.373  0.373  0.373
Ho  0.627  0.627  0.627
Ho  0.875  0.875  0.875
As  0.254  0.254  0.254
As  0.500  0.500  0.500
As  0.746  0.746  0.746

Computed properties:
- ρ (g/cm3) = 8.0
- volume (Å³ per cell) = 184
- DOS(E_F) (states/eV per cell) = 2.3
- DFT formation energy (eV/atom) = -1.253